DFT (GGA-PBE) results for an optimized crystal structure of MgMnP.

```
data_MgMnP
_chemical_formula_sum 'Mg1 Mn1 P1'
_cell_length_a 3.1579
_cell_length_b 3.1579
_cell_length_c 5.6084
_cell_angle_alpha 90.00
_cell_angle_beta 90.00
_cell_angle_gamma 120.00
_symmetry_space_group_name_H-M 'P 3 m 1'
_symmetry_Int_Tables_number 156
loop_
_symmetry_equiv_pos_as_xyz
'x,y,z'
'-y,x-y,z'
'-x+y,-x,z'
'-y,-x,z'
'-x+y,y,z'
'x,x-y,z'
loop_
_atom_site_label
_atom_site_fract_x
_atom_site_fract_y
_atom_site_fract_z
_atom_site_occupancy
Mg1 0.0000 0.0000 0.0000 1
Mn1 0.3333 0.6667 0.3932 1
P1 0.6667 0.3333 0.6256 1
```

Summary:
Electronic total energy = -5.475 eV/atom
Total magnetic moment = 1.9 μB/f.u.

DFT (GGA-PBE) results for an optimized crystal structure of MgMnP.

```
data_MgMnP
_chemical_formula_sum 'Mg2 Mn2 P2'
_cell_length_a 3.758
_cell_length_b 3.758
_cell_length_c 6.152
_cell_angle_alpha 90.00
_cell_angle_beta 90.00
_cell_angle_gamma 90.00
_symmetry_space_group_name_H-M 'P 4/n m m'
_symmetry_Int_Tables_number 129
loop_
_symmetry_equiv_pos_as_xyz
'x,y,z'
'-x,-y,-z'
'-y+1/2,x,z'
'y+1/2,-x,-z'
'-x+1/2,-y+1/2,z'
'x+1/2,y+1/2,-z'
'y,-x+1/2,z'
'-y,x+1/2,-z'
'x+1/2,-y,-z'
'-x+1/2,y,z'
'-y,-x,-z'
'y,x,z'
'-x,y+1/2,-z'
'x,-y+1/2,z'
'y+1/2,x+1/2,-z'
'-y+1/2,-x+1/2,z'
loop_
_atom_site_label
_atom_site_fract_x
_atom_site_fract_y
_atom_site_fract_z
_atom_site_occupancy
Mg1 0.250 0.250 0.161 1
Mn1 0.250 0.750 0.500 1
P1 0.250 0.250 0.730 1
```

Summary:
Electronic total energy = -5.902 eV/atom
Total magnetic moment = 1.8 μB/f.u.

DFT (GGA-PBE) results for an optimized crystal structure of MgMnRe2P.

```
data_MgMnRe2P
_chemical_formula_sum 'Mg1 Mn1 Re2 P1'
_cell_length_a 4.401
_cell_length_b 4.401
_cell_length_c 4.631
_cell_angle_alpha 90.00
_cell_angle_beta 90.00
_cell_angle_gamma 90.00
_symmetry_space_group_name_H-M 'P 4/m m m'
_symmetry_Int_Tables_number 123
_symmetry_space_group_name_Hall '-P 4 2'
loop_
_atom_site_label
_atom_site_fract_x
_atom_site_fract_y
_atom_site_fract_z
_atom_site_occupancy
Mg1 0.000 0.000 0.000 1
Mn1 0.000 0.000 0.500 1
Re1 0.000 0.500 0.500 1
P1 0.500 0.500 0.000 1
```

Summary:
Electronic total energy = -6.822 eV/atom
Total magnetic moment = 0.0 μB/f.u.

DFT (GGA-PBE) results for an optimized crystal structure of MgMnP2S.

```
data_MgMnP2S
_chemical_formula_sum 'Mg1 Mn1 P2 S1'
_cell_length_a 4.169
_cell_length_b 4.169
_cell_length_c 5.434
_cell_angle_alpha 90.00
_cell_angle_beta 90.00
_cell_angle_gamma 90.00
_symmetry_space_group_name_H-M 'P 4/m m m'
_symmetry_Int_Tables_number 123
_symmetry_space_group_name_Hall '-P 4 2'
loop_
_atom_site_label
_atom_site_fract_x
_atom_site_fract_y
_atom_site_fract_z
_atom_site_occupancy
Mg1 0.000 0.000 0.000 1
Mn1 0.500 0.500 0.500 1
P1 0.000 0.500 0.500 1
S1 0.500 0.500 0.000 1
```

Summary:
Energy above the lowest structure with this stoichiometry = 0.0000 eV per atom
Total magnetic moment = 0.0 μB/f.u.
Formation energy (no corrections) = 0.084 eV per atom

DFT (GGA-PBE) results for an optimized crystal structure of MgMnP2S.

```
data_MgMnP2S
_chemical_formula_sum 'Mg1 Mn1 P2 S1'
_cell_length_a 4.715
_cell_length_b 4.715
_cell_length_c 4.641
_cell_angle_alpha 90.00
_cell_angle_beta 90.00
_cell_angle_gamma 90.00
_symmetry_space_group_name_H-M 'P 4/m m m'
_symmetry_Int_Tables_number 123
_symmetry_space_group_name_Hall '-P 4 2'
loop_
_atom_site_label
_atom_site_fract_x
_atom_site_fract_y
_atom_site_fract_z
_atom_site_occupancy
Mg1 0.000 0.000 0.000 1
Mn1 0.500 0.500 0.500 1
P1 0.000 0.500 0.000 1
S1 0.000 0.000 0.500 1
```

Summary:
Energy above the lowest structure with this stoichiometry = 1.2932 eV per atom
Total magnetic moment = 0.1 μB/f.u.
Formation energy (no corrections) = 1.377 eV per atom

DFT (GGA-PBE) results for an optimized crystal structure of Mg2MnSnP.

```
data_Mg2MnSnP
_chemical_formula_sum 'Mg2 Mn1 Sn1 P1'
_cell_length_a 5.005
_cell_length_b 5.005
_cell_length_c 4.905
_cell_angle_alpha 90.00
_cell_angle_beta 90.00
_cell_angle_gamma 90.00
_symmetry_space_group_name_H-M 'P 4/m m m'
_symmetry_Int_Tables_number 123
_symmetry_space_group_name_Hall '-P 4 2'
loop_
_atom_site_label
_atom_site_fract_x
_atom_site_fract_y
_atom_site_fract_z
_atom_site_occupancy
Mg1 0.000 0.500 0.000 1
Mn1 0.000 0.000 0.000 1
Sn1 0.000 0.000 0.500 1
P1 0.500 0.500 0.500 1
```

Summary:
Electronic total energy = -3.682 eV/atom
Total magnetic moment = 2.7 μB/f.u.

Quick rundown of D(E_F), same order as above: 1.5 1.9 5.5 3.6 7.4 3.8 states/eV per cell